Entry A
The following is a PBE-GGA calculation of a relaxed structure of RbSrTbS3, from OQMD via LeMat-Bulk.

Summary:
Crystal system ... orthorhombic
Volume ... 939.5 Å³ per cell
Spin magnetization ... 0.044 μB per cell
ρ ... 3.03 g cm⁻³

Structure (CIF):
```
data_RbSrTbS3
_chemical_formula_sum 'Rb4 Sr4 Tb4 S12'
_symmetry_space_group_name_H-M 'C m c m'
_symmetry_Int_Tables_number 63
_symmetry_space_group_name_Hall '-C 2c 2'
_cell_length_a 4.2154
_cell_length_b 19.1451
_cell_length_c 11.6418
_cell_angle_alpha 90.00
_cell_angle_beta 90.00
_cell_angle_gamma 90.00
loop_
_atom_site_label
_atom_site_fract_x
_atom_site_fract_y
_atom_site_fract_z
_atom_site_occupancy
Rb1 0.0000 0.1432 0.2500 1
Sr1 0.0000 0.0889 0.7500 1
Tb1 0.0000 0.5000 0.0000 1
S1 0.0000 0.0960 0.5100 1
S2 0.0000 0.4909 0.7500 1
```



Entry B
The following is a PBE-GGA calculation of a relaxed structure of RbSrTbS3, from OQMD via LeMat-Bulk.

Summary:
Crystal system ... monoclinic
Volume ... 767.1 Å³ per cell
Spin magnetization ... 0.021 μB per cell
ρ ... 3.71 g cm⁻³

Structure (CIF):
```
data_RbSrTbS3
_chemical_formula_sum 'Rb4 Sr4 Tb4 S12'
_symmetry_space_group_name_H-M 'C 1 2/m 1'
_symmetry_Int_Tables_number 12
_cell_length_a 18.3518
_cell_length_b 4.0866
_cell_length_c 11.7514
_cell_angle_alpha 90.00
_cell_angle_beta 119.50
_cell_angle_gamma 90.00
loop_
_symmetry_equiv_pos_as_xyz
'x,y,z'
'-x,-y,-z'
'-x,y,-z'
'x,-y,z'
'x+1/2,y+1/2,z'
'-x+1/2,-y+1/2,-z'
'-x+1/2,y+1/2,-z'
'x+1/2,-y+1/2,z'
loop_
_atom_site_label
_atom_site_fract_x
_atom_site_fract_y
_atom_site_fract_z
_atom_site_occupancy
Rb1 0.0490 0.0000 0.2487 1
Sr1 0.1161 0.5000 0.6756 1
Tb1 0.1669 0.5000 0.0634 1
S1 0.0000 0.0000 0.5000 1
S2 0.0000 0.5000 0.0000 1
S3 0.1567 0.0000 0.8844 1
S4 0.2123 0.0000 0.2368 1
```



The most stable arrangement is entry B, and the next structure is 0.126 eV/atom less stable.



Entry A
The following is a PBE-GGA calculation of a relaxed structure of Rb2TcS3, from OQMD via LeMat-Bulk.

Summary:
Crystal system ... orthorhombic
Volume ... 678.0 Å³ per cell
Spin magnetization ... 0.234 μB per cell
ρ ... 3.58 g cm⁻³

Structure (CIF):
```
data_Rb2TcS3
_chemical_formula_sum 'Rb8 Tc4 S12'
_symmetry_space_group_name_H-M 'C m c m'
_symmetry_Int_Tables_number 63
_symmetry_space_group_name_Hall '-C 2c 2'
_cell_length_a 11.6920
_cell_length_b 8.8872
_cell_length_c 6.5247
_cell_angle_alpha 90.00
_cell_angle_beta 90.00
_cell_angle_gamma 90.00
loop_
_atom_site_label
_atom_site_fract_x
_atom_site_fract_y
_atom_site_fract_z
_atom_site_occupancy
Rb1 0.1605 0.1715 0.2500 1
Tc1 0.0000 0.3993 0.7500 1
S1 0.0000 0.1479 0.7500 1
S2 0.1222 0.5000 0.0000 1
```



Entry B
The following is a PBE-GGA calculation of a relaxed structure of Rb2TcS3, from OQMD via LeMat-Bulk.

Summary:
Crystal system ... triclinic
Volume ... 373.4 Å³ per cell
Spin magnetization ... 1.993 μB per cell
ρ ... 3.25 g cm⁻³

Structure (CIF):
```
data_Rb2TcS3
_chemical_formula_sum 'Rb4 Tc2 S6'
_symmetry_space_group_name_H-M 'P -1'
_symmetry_Int_Tables_number 2
_cell_length_a 6.9023
_cell_length_b 7.5328
_cell_length_c 8.6844
_cell_angle_alpha 73.70
_cell_angle_beta 67.69
_cell_angle_gamma 64.53
loop_
_symmetry_equiv_pos_as_xyz
'x,y,z'
'-x,-y,-z'
loop_
_atom_site_label
_atom_site_fract_x
_atom_site_fract_y
_atom_site_fract_z
_atom_site_occupancy
Rb1 0.0895 0.1973 0.1326 1
Rb2 0.3238 0.5798 0.3059 1
Tc1 0.3848 0.0531 0.6602 1
S1 0.1864 0.3648 0.7185 1
S2 0.2557 0.9770 0.4922 1
S3 0.3849 0.8310 0.8930 1
```



Entry C
The following is a PBE-GGA calculation of a relaxed structure of Rb2TcS3, from OQMD via LeMat-Bulk.

Summary:
Crystal system ... monoclinic
Volume ... 858.8 Å³ per cell
Spin magnetization ... 12.004 μB per cell
ρ ... 2.82 g cm⁻³

Structure (CIF):
```
data_Rb2TcS3
_chemical_formula_sum 'Rb8 Tc4 S12'
_symmetry_space_group_name_H-M 'C 1 c 1'
_symmetry_Int_Tables_number 9
_cell_length_a 7.6047
_cell_length_b 13.4428
_cell_length_c 8.6816
_cell_angle_alpha 90.00
_cell_angle_beta 104.62
_cell_angle_gamma 90.00
loop_
_symmetry_equiv_pos_as_xyz
'x,y,z'
'x,-y,z+1/2'
'x+1/2,y+1/2,z'
'x+1/2,-y+1/2,z+1/2'
loop_
_atom_site_label
_atom_site_fract_x
_atom_site_fract_y
_atom_site_fract_z
_atom_site_occupancy
Rb1 0.0000 0.0904 0.0000 1
Rb2 0.4978 0.2545 0.9999 1
Tc1 0.0409 0.4374 0.1780 1
S1 0.1902 0.2953 0.2018 1
S2 0.2081 0.4286 0.7535 1
S3 0.2729 0.0720 0.7336 1
```



The most stable arrangement is entry B, and the next structure is 0.036 eV/atom less stable.



Entry A
The following is a PBE-GGA calculation of a relaxed structure of Rb2WS4, from OQMD via LeMat-Bulk.

Summary:
Crystal system ... orthorhombic
Volume ... 885.6 Å³ per cell
Spin magnetization ... 0.005 μB per cell
ρ ... 3.62 g cm⁻³

Structure (CIF):
```
data_Rb2WS4
_chemical_formula_sum 'Rb8 W4 S16'
_symmetry_space_group_name_H-M 'P n m a'
_symmetry_Int_Tables_number 62
_cell_length_a 9.8217
_cell_length_b 7.1262
_cell_length_c 12.6530
_cell_angle_alpha 90.00
_cell_angle_beta 90.00
_cell_angle_gamma 90.00
loop_
_symmetry_equiv_pos_as_xyz
'x,y,z'
'-x,-y,-z'
'-x+1/2,-y,z+1/2'
'x+1/2,y,-z+1/2'
'x+1/2,-y+1/2,-z+1/2'
'-x+1/2,y+1/2,z+1/2'
'-x,y+1/2,-z'
'x,-y+1/2,z'
loop_
_atom_site_label
_atom_site_fract_x
_atom_site_fract_y
_atom_site_fract_z
_atom_site_occupancy
Rb1 0.0396 0.2500 0.1670 1
Rb2 0.1588 0.7500 0.3911 1
W1 0.2470 0.7500 0.0726 1
S1 0.0254 0.7500 0.1065 1
S2 0.1576 0.9996 0.6434 1
S3 0.2136 0.2500 0.4007 1
```



Entry B
The following is a PBE-GGA calculation of a relaxed structure of Rb2WS4, from OQMD via LeMat-Bulk.

Summary:
Crystal system ... monoclinic
Volume ... 917.0 Å³ per cell
Spin magnetization ... 0.005 μB per cell
ρ ... 3.50 g cm⁻³

Structure (CIF):
```
data_Rb2WS4
_chemical_formula_sum 'Rb8 W4 S16'
_symmetry_space_group_name_H-M 'C 1 2/m 1'
_symmetry_Int_Tables_number 12
_cell_length_a 15.1301
_cell_length_b 7.0894
_cell_length_c 9.3012
_cell_angle_alpha 90.00
_cell_angle_beta 113.19
_cell_angle_gamma 90.00
loop_
_symmetry_equiv_pos_as_xyz
'x,y,z'
'-x,-y,-z'
'-x,y,-z'
'x,-y,z'
'x+1/2,y+1/2,z'
'-x+1/2,-y+1/2,-z'
'-x+1/2,y+1/2,-z'
'x+1/2,-y+1/2,z'
loop_
_atom_site_label
_atom_site_fract_x
_atom_site_fract_y
_atom_site_fract_z
_atom_site_occupancy
Rb1 0.0347 0.0000 0.2610 1
Rb2 0.1611 0.5000 0.7491 1
W1 0.1732 0.5000 0.2057 1
S1 0.0876 0.5000 0.3522 1
S2 0.1370 0.2492 0.0544 1
S3 0.1698 0.0000 0.6496 1
```



The most stable arrangement is entry A, and the next structure is 0.023 eV/atom less stable.



Entry A
The following is a PBE-GGA calculation of a relaxed structure of RbTaSb, from OQMD via LeMat-Bulk.

Summary:
Crystal system ... cubic
Volume ... 369.9 Å³ per cell
Spin magnetization ... 11.248 μB per cell
ρ ... 6.97 g cm⁻³

Structure (CIF):
```
data_RbTaSb
_chemical_formula_sum 'Rb4 Ta4 Sb4'
_symmetry_space_group_name_H-M 'F -4 3 m'
_symmetry_Int_Tables_number 216
_symmetry_space_group_name_Hall 'F -4 2 3'
_cell_length_a 7.1782
_cell_length_b 7.1782
_cell_length_c 7.1782
_cell_angle_alpha 90.00
_cell_angle_beta 90.00
_cell_angle_gamma 90.00
loop_
_atom_site_label
_atom_site_fract_x
_atom_site_fract_y
_atom_site_fract_z
_atom_site_occupancy
Rb1 0.0000 0.0000 0.0000 1
Ta1 0.2500 0.2500 0.2500 1
Sb1 0.0000 0.0000 0.5000 1
```



Entry B
The following is a PBE-GGA calculation of a relaxed structure of RbTaSb, from OQMD via LeMat-Bulk.

Summary:
Crystal system ... cubic
Volume ... 419.7 Å³ per cell
Spin magnetization ... 12.002 μB per cell
ρ ... 6.14 g cm⁻³

Structure (CIF):
```
data_RbTaSb
_chemical_formula_sum 'Rb4 Ta4 Sb4'
_symmetry_space_group_name_H-M 'F -4 3 m'
_symmetry_Int_Tables_number 216
_symmetry_space_group_name_Hall 'F -4 2 3'
_cell_length_a 7.4870
_cell_length_b 7.4870
_cell_length_c 7.4870
_cell_angle_alpha 90.00
_cell_angle_beta 90.00
_cell_angle_gamma 90.00
loop_
_atom_site_label
_atom_site_fract_x
_atom_site_fract_y
_atom_site_fract_z
_atom_site_occupancy
Rb1 0.0000 0.0000 0.0000 1
Ta1 0.2500 0.2500 0.2500 1
Sb1 0.2500 0.2500 0.7500 1
```



The most stable arrangement is entry A, and the next structure is 0.874 eV/atom less stable.



Entry A
The following is a PBE-GGA calculation of a relaxed structure of RbSbW, from OQMD via LeMat-Bulk.

Summary:
Crystal system ... cubic
Volume ... 430.0 Å³ per cell
Spin magnetization ... 15.995 μB per cell
ρ ... 6.04 g cm⁻³

Structure (CIF):
```
data_RbSbW
_chemical_formula_sum 'Rb4 Sb4 W4'
_symmetry_space_group_name_H-M 'F -4 3 m'
_symmetry_Int_Tables_number 216
_symmetry_space_group_name_Hall 'F -4 2 3'
_cell_length_a 7.5478
_cell_length_b 7.5478
_cell_length_c 7.5478
_cell_angle_alpha 90.00
_cell_angle_beta 90.00
_cell_angle_gamma 90.00
loop_
_atom_site_label
_atom_site_fract_x
_atom_site_fract_y
_atom_site_fract_z
_atom_site_occupancy
Rb1 0.0000 0.0000 0.0000 1
Sb1 0.2500 0.2500 0.7500 1
W1 0.2500 0.2500 0.2500 1
```



Entry B
The following is a PBE-GGA calculation of a relaxed structure of RbSbW, from OQMD via LeMat-Bulk.

Summary:
Crystal system ... cubic
Volume ... 383.1 Å³ per cell
Spin magnetization ... 15.361 μB per cell
ρ ... 6.78 g cm⁻³

Structure (CIF):
```
data_RbSbW
_chemical_formula_sum 'Rb4 Sb4 W4'
_symmetry_space_group_name_H-M 'F -4 3 m'
_symmetry_Int_Tables_number 216
_symmetry_space_group_name_Hall 'F -4 2 3'
_cell_length_a 7.2631
_cell_length_b 7.2631
_cell_length_c 7.2631
_cell_angle_alpha 90.00
_cell_angle_beta 90.00
_cell_angle_gamma 90.00
loop_
_atom_site_label
_atom_site_fract_x
_atom_site_fract_y
_atom_site_fract_z
_atom_site_occupancy
Rb1 0.0000 0.0000 0.0000 1
Sb1 0.0000 0.0000 0.5000 1
W1 0.2500 0.2500 0.2500 1
```



The most stable arrangement is entry B, and the next structure is 0.766 eV/atom less stable.



Entry A
The following is a PBE-GGA calculation of a relaxed structure of RbZrScSe3, from OQMD via LeMat-Bulk.

Summary:
Crystal system ... orthorhombic
Volume ... 690.0 Å³ per cell
Spin magnetization ... 0.005 μB per cell
ρ ... 4.41 g cm⁻³

Structure (CIF):
```
data_RbZrScSe3
_chemical_formula_sum 'Rb4 Zr4 Sc4 Se12'
_symmetry_space_group_name_H-M 'C m c m'
_symmetry_Int_Tables_number 63
_symmetry_space_group_name_Hall '-C 2c 2'
_cell_length_a 4.2179
_cell_length_b 15.6319
_cell_length_c 10.4648
_cell_angle_alpha 90.00
_cell_angle_beta 90.00
_cell_angle_gamma 90.00
loop_
_atom_site_label
_atom_site_fract_x
_atom_site_fract_y
_atom_site_fract_z
_atom_site_occupancy
Rb1 0.0000 0.2475 0.2500 1
Zr1 0.0000 0.0271 0.7500 1
Sc1 0.0000 0.5000 0.0000 1
Se1 0.0000 0.1177 0.5431 1
Se2 0.0000 0.4298 0.7500 1
```



Entry B
The following is a PBE-GGA calculation of a relaxed structure of RbZrScSe3, from OQMD via LeMat-Bulk.

Summary:
Crystal system ... orthorhombic
Volume ... 677.1 Å³ per cell
Spin magnetization ... 0.129 μB per cell
ρ ... 4.50 g cm⁻³

Structure (CIF):
```
data_RbZrScSe3
_chemical_formula_sum 'Rb4 Zr4 Sc4 Se12'
_symmetry_space_group_name_H-M 'C m c m'
_symmetry_Int_Tables_number 63
_symmetry_space_group_name_Hall '-C 2c 2'
_cell_length_a 4.0813
_cell_length_b 15.7314
_cell_length_c 10.5454
_cell_angle_alpha 90.00
_cell_angle_beta 90.00
_cell_angle_gamma 90.00
loop_
_atom_site_label
_atom_site_fract_x
_atom_site_fract_y
_atom_site_fract_z
_atom_site_occupancy
Rb1 0.0000 0.2420 0.2500 1
Zr1 0.0000 0.5000 0.0000 1
Sc1 0.0000 0.0362 0.7500 1
Se1 0.0000 0.1204 0.5422 1
Se2 0.0000 0.4355 0.7500 1
```



The most stable arrangement is entry B, and the next structure is 0.040 eV/atom less stable.



Entry A
The following is a PBE-GGA calculation of a relaxed structure of RbScTc, from OQMD via LeMat-Bulk.

Summary:
Crystal system ... cubic
Volume ... 344.5 Å³ per cell
Spin magnetization ... 10.537 μB per cell
ρ ... 4.40 g cm⁻³

Structure (CIF):
```
data_RbScTc
_chemical_formula_sum 'Rb4 Sc4 Tc4'
_symmetry_space_group_name_H-M 'F -4 3 m'
_symmetry_Int_Tables_number 216
_symmetry_space_group_name_Hall 'F -4 2 3'
_cell_length_a 7.0104
_cell_length_b 7.0104
_cell_length_c 7.0104
_cell_angle_alpha 90.00
_cell_angle_beta 90.00
_cell_angle_gamma 90.00
loop_
_atom_site_label
_atom_site_fract_x
_atom_site_fract_y
_atom_site_fract_z
_atom_site_occupancy
Rb1 0.0000 0.0000 0.0000 1
Sc1 0.2500 0.2500 0.7500 1
Tc1 0.2500 0.2500 0.2500 1
```



Entry B
The following is a PBE-GGA calculation of a relaxed structure of RbScTc, from OQMD via LeMat-Bulk.

Summary:
Crystal system ... cubic
Volume ... 335.4 Å³ per cell
Spin magnetization ... 4.006 μB per cell
ρ ... 4.52 g cm⁻³

Structure (CIF):
```
data_RbScTc
_chemical_formula_sum 'Rb4 Sc4 Tc4'
_symmetry_space_group_name_H-M 'F -4 3 m'
_symmetry_Int_Tables_number 216
_symmetry_space_group_name_Hall 'F -4 2 3'
_cell_length_a 6.9476
_cell_length_b 6.9476
_cell_length_c 6.9476
_cell_angle_alpha 90.00
_cell_angle_beta 90.00
_cell_angle_gamma 90.00
loop_
_atom_site_label
_atom_site_fract_x
_atom_site_fract_y
_atom_site_fract_z
_atom_site_occupancy
Rb1 0.0000 0.0000 0.0000 1
Sc1 0.0000 0.0000 0.5000 1
Tc1 0.2500 0.2500 0.2500 1
```



The most stable arrangement is entry B, and the next structure is 0.628 eV/atom less stable.



Entry A
The following is a PBE-GGA calculation of a relaxed structure of RbTmScTe3, from OQMD via LeMat-Bulk.

Summary:
Crystal system ... orthorhombic
Volume ... 859.0 Å³ per cell
Spin magnetization ... 0.101 μB per cell
ρ ... 5.27 g cm⁻³

Structure (CIF):
```
data_RbTmScTe3
_chemical_formula_sum 'Rb4 Tm4 Sc4 Te12'
_symmetry_space_group_name_H-M 'C m c m'
_symmetry_Int_Tables_number 63
_symmetry_space_group_name_Hall '-C 2c 2'
_cell_length_a 4.4542
_cell_length_b 16.5834
_cell_length_c 11.6296
_cell_angle_alpha 90.00
_cell_angle_beta 90.00
_cell_angle_gamma 90.00
loop_
_atom_site_label
_atom_site_fract_x
_atom_site_fract_y
_atom_site_fract_z
_atom_site_occupancy
Rb1 0.0000 0.2424 0.2500 1
Tm1 0.0000 0.5000 0.0000 1
Sc1 0.0000 0.0407 0.7500 1
Te1 0.0000 0.1278 0.5462 1
Te2 0.0000 0.4356 0.7500 1
```



Entry B
The following is a PBE-GGA calculation of a relaxed structure of RbTmScTe3, from OQMD via LeMat-Bulk.

Summary:
Crystal system ... orthorhombic
Volume ... 876.4 Å³ per cell
Spin magnetization ... 3.863 μB per cell
ρ ... 5.17 g cm⁻³

Structure (CIF):
```
data_RbTmScTe3
_chemical_formula_sum 'Rb4 Tm4 Sc4 Te12'
_symmetry_space_group_name_H-M 'C m c m'
_symmetry_Int_Tables_number 63
_symmetry_space_group_name_Hall '-C 2c 2'
_cell_length_a 4.6026
_cell_length_b 16.7349
_cell_length_c 11.3780
_cell_angle_alpha 90.00
_cell_angle_beta 90.00
_cell_angle_gamma 90.00
loop_
_atom_site_label
_atom_site_fract_x
_atom_site_fract_y
_atom_site_fract_z
_atom_site_occupancy
Rb1 0.0000 0.2470 0.2500 1
Tm1 0.0000 0.4735 0.7500 1
Sc1 0.0000 0.0000 0.0000 1
Te1 0.0000 0.0768 0.7500 1
Te2 0.0000 0.3790 0.5392 1
```



The most stable arrangement is entry A, and the next structure is 0.067 eV/atom less stable.